Compound: Ba2MoOsO6
Source: Alexandria
Functional: GGA+U
Structure: optimized geometry

Computed properties:
V in Å³ per atom: 15.8
VASP energy in Ry/atom: -0.518

a b c (Å): 11.360 5.589 5.346
angles (deg): 90.00 111.70 90.00
Space group C2/m (No. 12)
Inequivalent atoms, fractional coordinates:
Ba1 0.234 0.000 0.222 (multiplicity 4)
Mo1 0.000 0.500 0.000 (multiplicity 2)
Os1 0.000 0.000 0.500 (multiplicity 2)
O1 0.049 0.241 0.779 (multiplicity 8)
O2 0.174 0.500 0.239 (multiplicity 4)